one:
# GGA-PBE LiAsP2O, optimized geometry
# **Crystal system**: tetragonal
# **Total magnetic moment**: 0.0 μB per cell
# **Calculated density**: 3.000 g/cm3
data_LiAsP2O
_chemical_formula_sum 'Li1 As1 P2 O1'
_cell_length_a 4.942
_cell_length_b 4.942
_cell_length_c 3.622
_cell_angle_alpha 90.00
_cell_angle_beta 90.00
_cell_angle_gamma 90.00
_symmetry_space_group_name_H-M 'P 4/m m m'
_symmetry_Int_Tables_number 123
_symmetry_space_group_name_Hall '-P 4 2'
loop_
_atom_site_label
_atom_site_type_symbol
_atom_site_fract_x
_atom_site_fract_y
_atom_site_fract_z
Li1 Li 0.000 0.000 0.000
As1 As 0.500 0.500 0.500
P1 P 0.000 0.500 0.500
O1 O 0.500 0.500 0.000

=====

two:
# GGA-PBE LiAsP2O, optimized geometry
# **Crystal system**: tetragonal
# **Total magnetic moment**: 0.0 μB per cell
# **Calculated density**: 3.726 g/cm3
data_LiAsP2O
_chemical_formula_sum 'Li1 As1 P2 O1'
_cell_length_a 4.589
_cell_length_b 4.589
_cell_length_c 3.382
_cell_angle_alpha 90.00
_cell_angle_beta 90.00
_cell_angle_gamma 90.00
_symmetry_space_group_name_H-M 'P 4/m m m'
_symmetry_Int_Tables_number 123
_symmetry_space_group_name_Hall '-P 4 2'
loop_
_atom_site_label
_atom_site_type_symbol
_atom_site_fract_x
_atom_site_fract_y
_atom_site_fract_z
Li1 Li 0.000 0.000 0.000
As1 As 0.500 0.500 0.500
P1 P 0.000 0.500 0.000
O1 O 0.000 0.000 0.500

=====

The least stable of them is two.

=====

one:
# GGA-PBE LiAsPO2, optimized geometry
# **Crystal system**: tetragonal
# **Total magnetic moment**: 0.0 μB per cell
# **Calculated density**: 3.436 g/cm3
data_LiAsPO2
_chemical_formula_sum 'Li1 As1 P1 O2'
_cell_length_a 3.703
_cell_length_b 3.703
_cell_length_c 5.104
_cell_angle_alpha 90.00
_cell_angle_beta 90.00
_cell_angle_gamma 90.00
_symmetry_space_group_name_H-M 'P 4/m m m'
_symmetry_Int_Tables_number 123
_symmetry_space_group_name_Hall '-P 4 2'
loop_
_atom_site_label
_atom_site_type_symbol
_atom_site_fract_x
_atom_site_fract_y
_atom_site_fract_z
Li1 Li 0.000 0.000 0.000
As1 As 0.500 0.500 0.500
P1 P 0.500 0.500 0.000
O1 O 0.000 0.500 0.500

=====

two:
# GGA-PBE LiAsPO2, optimized geometry
# **Crystal system**: tetragonal
# **Total magnetic moment**: 1.3 μB per cell
# **Calculated density**: 3.883 g/cm3
data_LiAsPO2
_chemical_formula_sum 'Li1 As1 P1 O2'
_cell_length_a 3.670
_cell_length_b 3.670
_cell_length_c 4.599
_cell_angle_alpha 90.00
_cell_angle_beta 90.00
_cell_angle_gamma 90.00
_symmetry_space_group_name_H-M 'P 4/m m m'
_symmetry_Int_Tables_number 123
_symmetry_space_group_name_Hall '-P 4 2'
loop_
_atom_site_label
_atom_site_type_symbol
_atom_site_fract_x
_atom_site_fract_y
_atom_site_fract_z
Li1 Li 0.000 0.000 0.000
As1 As 0.500 0.500 0.500
P1 P 0.000 0.000 0.500
O1 O 0.000 0.500 0.000

=====

The least stable of them is two.

=====

one:
# GGA-PBE Li2ScAsO, optimized geometry
# **Crystal system**: tetragonal
# **Total magnetic moment**: 0.7 μB per cell
# **Calculated density**: 1.483 g/cm3
data_Li2ScAsO
_chemical_formula_sum 'Li2 Sc1 As1 O1'
_cell_length_a 5.886
_cell_length_b 5.886
_cell_length_c 4.842
_cell_angle_alpha 90.00
_cell_angle_beta 90.00
_cell_angle_gamma 90.00
_symmetry_space_group_name_H-M 'P 4/m m m'
_symmetry_Int_Tables_number 123
_symmetry_space_group_name_Hall '-P 4 2'
loop_
_atom_site_label
_atom_site_type_symbol
_atom_site_fract_x
_atom_site_fract_y
_atom_site_fract_z
Li1 Li 0.000 0.500 0.000
Sc1 Sc 0.000 0.000 0.000
As1 As 0.000 0.000 0.500
O1 O 0.500 0.500 0.500

=====

two:
# GGA-PBE Li2ScAsO, optimized geometry
# **Crystal system**: tetragonal
# **Total magnetic moment**: 0.0 μB per cell
# **Calculated density**: 3.688 g/cm3
data_Li2ScAsO
_chemical_formula_sum 'Li2 Sc1 As1 O1'
_cell_length_a 3.973
_cell_length_b 3.973
_cell_length_c 4.271
_cell_angle_alpha 90.00
_cell_angle_beta 90.00
_cell_angle_gamma 90.00
_symmetry_space_group_name_H-M 'P 4/m m m'
_symmetry_Int_Tables_number 123
_symmetry_space_group_name_Hall '-P 4 2'
loop_
_atom_site_label
_atom_site_type_symbol
_atom_site_fract_x
_atom_site_fract_y
_atom_site_fract_z
Li1 Li 0.000 0.500 0.000
Sc1 Sc 0.000 0.000 0.500
As1 As 0.500 0.500 0.500
O1 O 0.000 0.000 0.000

=====

The least stable of them is one.

=====

one:
# GGA-PBE LiAs2SeO, optimized geometry
# **Crystal system**: tetragonal
# **Total magnetic moment**: 0.0 μB per cell
# **Calculated density**: 4.709 g/cm3
data_LiAs2SeO
_chemical_formula_sum 'Li1 As2 Se1 O1'
_cell_length_a 4.571
_cell_length_b 4.571
_cell_length_c 4.248
_cell_angle_alpha 90.00
_cell_angle_beta 90.00
_cell_angle_gamma 90.00
_symmetry_space_group_name_H-M 'P 4/m m m'
_symmetry_Int_Tables_number 123
_symmetry_space_group_name_Hall '-P 4 2'
loop_
_atom_site_label
_atom_site_type_symbol
_atom_site_fract_x
_atom_site_fract_y
_atom_site_fract_z
Li1 Li 0.000 0.000 0.000
As1 As 0.000 0.500 0.000
Se1 Se 0.000 0.000 0.500
O1 O 0.500 0.500 0.500

=====

two:
# GGA-PBE LiAs2SeO, optimized geometry
# **Crystal system**: tetragonal
# **Total magnetic moment**: 0.0 μB per cell
# **Calculated density**: 4.636 g/cm3
data_LiAs2SeO
_chemical_formula_sum 'Li1 As2 Se1 O1'
_cell_length_a 4.285
_cell_length_b 4.285
_cell_length_c 4.912
_cell_angle_alpha 90.00
_cell_angle_beta 90.00
_cell_angle_gamma 90.00
_symmetry_space_group_name_H-M 'P 4/m m m'
_symmetry_Int_Tables_number 123
_symmetry_space_group_name_Hall '-P 4 2'
loop_
_atom_site_label
_atom_site_type_symbol
_atom_site_fract_x
_atom_site_fract_y
_atom_site_fract_z
Li1 Li 0.000 0.000 0.000
As1 As 0.000 0.500 0.500
Se1 Se 0.500 0.500 0.000
O1 O 0.500 0.500 0.500

=====

The least stable of them is one.

=====

one:
# GGA-PBE LiAsSe2O, optimized geometry
# **Crystal system**: tetragonal
# **Total magnetic moment**: 0.2 μB per cell
# **Calculated density**: 4.637 g/cm3
data_LiAsSe2O
_chemical_formula_sum 'Li1 As1 Se2 O1'
_cell_length_a 4.639
_cell_length_b 4.639
_cell_length_c 4.257
_cell_angle_alpha 90.00
_cell_angle_beta 90.00
_cell_angle_gamma 90.00
_symmetry_space_group_name_H-M 'P 4/m m m'
_symmetry_Int_Tables_number 123
_symmetry_space_group_name_Hall '-P 4 2'
loop_
_atom_site_label
_atom_site_type_symbol
_atom_site_fract_x
_atom_site_fract_y
_atom_site_fract_z
Li1 Li 0.000 0.000 0.000
As1 As 0.500 0.500 0.000
Se1 Se 0.000 0.500 0.500
O1 O 0.500 0.500 0.500

=====

two:
# GGA-PBE LiAsSe2O, optimized geometry
# **Crystal system**: tetragonal
# **Total magnetic moment**: 0.0 μB per cell
# **Calculated density**: 4.665 g/cm3
data_LiAsSe2O
_chemical_formula_sum 'Li1 As1 Se2 O1'
_cell_length_a 4.340
_cell_length_b 4.340
_cell_length_c 4.833
_cell_angle_alpha 90.00
_cell_angle_beta 90.00
_cell_angle_gamma 90.00
_symmetry_space_group_name_H-M 'P 4/m m m'
_symmetry_Int_Tables_number 123
_symmetry_space_group_name_Hall '-P 4 2'
loop_
_atom_site_label
_atom_site_type_symbol
_atom_site_fract_x
_atom_site_fract_y
_atom_site_fract_z
Li1 Li 0.000 0.000 0.000
As1 As 0.000 0.000 0.500
Se1 Se 0.000 0.500 0.000
O1 O 0.500 0.500 0.500

=====

The least stable of them is two.

=====

one:
# GGA-PBE LiTiAsO5, optimized geometry
# **Crystal system**: orthorhombic
# **Total magnetic moment**: 0.0 μB per cell
# **Calculated density**: 3.602 g/cm3
data_LiTiAsO5
_chemical_formula_sum 'Li4 Ti4 As4 O20'
_cell_length_a 7.653
_cell_length_b 6.661
_cell_length_c 7.586
_cell_angle_alpha 90.00
_cell_angle_beta 90.00
_cell_angle_gamma 90.00
_symmetry_space_group_name_H-M 'P n m a'
_symmetry_Int_Tables_number 62
loop_
_symmetry_equiv_pos_as_xyz
'x,y,z'
'-x,-y,-z'
'-x+1/2,-y,z+1/2'
'x+1/2,y,-z+1/2'
'x+1/2,-y+1/2,-z+1/2'
'-x+1/2,y+1/2,z+1/2'
'-x,y+1/2,-z'
'x,-y+1/2,z'
loop_
_atom_site_label
_atom_site_type_symbol
_atom_site_fract_x
_atom_site_fract_y
_atom_site_fract_z
Li1 Li 0.000 0.000 0.000
Ti1 Ti 0.166 0.250 0.277
As1 As 0.127 0.750 0.373
O1 O 0.064 0.250 0.508
O2 O 0.117 0.750 0.837
O3 O 0.126 0.545 0.237
O4 O 0.189 0.250 0.003

=====

two:
# GGA-PBE LiTiAsO5, optimized geometry
# **Crystal system**: monoclinic
# **Total magnetic moment**: 0.0 μB per cell
# **Calculated density**: 3.689 g/cm3
data_LiTiAsO5
_chemical_formula_sum 'Li4 Ti4 As4 O20'
_cell_length_a 6.415
_cell_length_b 8.974
_cell_length_c 7.169
_cell_angle_alpha 90.00
_cell_angle_beta 113.81
_cell_angle_gamma 90.00
_symmetry_space_group_name_H-M 'C 1 2/c 1'
_symmetry_Int_Tables_number 15
loop_
_symmetry_equiv_pos_as_xyz
'x,y,z'
'-x,-y,-z'
'-x,y,-z+1/2'
'x,-y,z+1/2'
'x+1/2,y+1/2,z'
'-x+1/2,-y+1/2,-z'
'-x+1/2,y+1/2,-z+1/2'
'x+1/2,-y+1/2,z+1/2'
loop_
_atom_site_label
_atom_site_type_symbol
_atom_site_fract_x
_atom_site_fract_y
_atom_site_fract_z
Li1 Li 0.000 0.210 0.250
Ti1 Ti 0.000 0.500 0.000
As1 As 0.000 0.191 0.750
O1 O 0.000 0.431 0.250
O2 O 0.134 0.298 0.630
O3 O 0.188 0.077 0.933

=====

The least stable of them is two.